1.
The following is a PBE+U calculation of DyPuCrO6 after structural relaxation, from Alexandria via LeMat-Bulk.

abc: 5.562 5.562 8.682
angles: 90.00 90.00 120.00
Atoms (fractional coordinates):
O 0.337 0.310 0.376
O 0.690 0.663 0.124
O 0.027 0.690 0.876
O 0.663 0.690 0.624
O 0.027 0.337 0.624
O 0.690 0.027 0.376
O 0.663 0.973 0.876
O 0.310 0.973 0.624
O 0.973 0.310 0.124
O 0.973 0.663 0.376
O 0.310 0.337 0.876
O 0.337 0.027 0.124
Pu 0.333 0.667 0.750
Pu 0.667 0.333 0.250
Dy 0.667 0.333 0.750
Dy 0.333 0.667 0.250
Cr 0.000 0.000 0.000
Cr 0.000 0.000 0.500

Space-group type: P-31c, No. 163
Size of the total moment: 5.0 μB per formula unit

***

2.
The following is a PBE+U calculation of Rb2DyCrO6 after structural relaxation, from Alexandria via LeMat-Bulk.

abc: 5.678 6.415 6.415
angles: 120.00 90.00 90.00
Atoms (fractional coordinates):
O 0.803 0.735 0.867
O 0.197 0.265 0.133
O 0.803 0.133 0.265
O 0.197 0.867 0.735
O 0.197 0.867 0.133
O 0.803 0.133 0.867
Cr 0.000 0.000 0.000
Dy 0.500 0.000 0.000
Rb 0.121 0.333 0.667
Rb 0.879 0.667 0.333

Space-group type: P-3m1, No. 164
Size of the total moment: 1.0 μB per formula unit

***

3.
The following is a PBE+U calculation of Rb2DyCrO4 after structural relaxation, from Alexandria via LeMat-Bulk.

abc: 3.362 5.750 6.744
angles: 106.85 90.00 90.00
Atoms (fractional coordinates):
O 0.000 0.745 0.172
O 0.500 0.796 0.833
O 0.500 0.204 0.167
O 0.000 0.255 0.828
Rb 0.500 0.000 0.500
Rb 0.000 0.500 0.500
Cr 0.000 0.000 0.000
Dy 0.500 0.500 0.000

Space-group type: P2/m, No. 10
Size of the total moment: 3.0 μB per formula unit

***

4.
The following is a PBE+U calculation of Rb3Dy3CrO8 after structural relaxation, from Alexandria via LeMat-Bulk.

abc: 6.746 6.751 7.661
angles: 116.13 90.00 119.98
Atoms (fractional coordinates):
Rb 0.000 0.000 0.000
Rb 0.000 0.500 0.000
Rb 0.500 0.500 0.000
Cr 0.000 0.000 0.500
Dy 0.500 0.500 0.500
Dy 0.000 0.500 0.500
Dy 0.500 0.000 0.500
O 0.756 0.958 0.661
O 0.276 0.551 0.327
O 0.244 0.042 0.339
O 0.202 0.958 0.661
O 0.203 0.405 0.661
O 0.797 0.595 0.339
O 0.724 0.449 0.673
O 0.798 0.042 0.339

Space-group type: R-3m, No. 166
Size of the total moment: 1.9 μB per formula unit

***

E_tot per entry: -156.671 -59.880 -50.838 -100.775 eV/cell